1.
# CaCu2SiAu5 (GGA-PBE, optimized geometry)
# Total magnetic moment = 0.00 Bohr magnetons per cell
# Formation energy without anion corrections = -1.1 eV/f.u.
data_CaCu2SiAu5
_chemical_formula_sum 'Ca2 Cu4 Si2 Au10'
_space_group_name_H-M_alt 'I m m m'
_space_group_IT_number 71
_space_group_name_Hall '-I 2 2'
_cell_length_a 4.6772
_cell_length_b 5.7642
_cell_length_c 13.5163
_cell_angle_alpha 90.00
_cell_angle_beta 90.00
_cell_angle_gamma 90.00
loop_
_atom_site_label
_atom_site_type_symbol
_atom_site_fract_x
_atom_site_fract_y
_atom_site_fract_z
Ca1 Ca 0.0000 0.0000 0.0000
Cu1 Cu 0.0000 0.5000 0.1886
Si1 Si 0.0000 0.0000 0.5000
Au1 Au 0.0000 0.2567 0.3478
Au2 Au 0.0000 0.5000 0.0000

***

2.
# Y3HoTm2Sb6 (GGA-PBE, optimized geometry)
# Total magnetic moment = 0.00 Bohr magnetons per cell
# Formation energy without anion corrections = -13.5 eV/f.u.
data_Y3HoTm2Sb6
_chemical_formula_sum 'Y6 Ho2 Tm4 Sb12'
_space_group_name_H-M_alt 'C 1 2/m 1'
_space_group_IT_number 12
_cell_length_a 7.5695
_cell_length_b 13.1123
_cell_length_c 7.5639
_cell_angle_alpha 90.00
_cell_angle_beta 109.47
_cell_angle_gamma 90.00
loop_
_space_group_symop_operation_xyz
'x,y,z'
'-x,-y,-z'
'-x,y,-z'
'x,-y,z'
'x+1/2,y+1/2,z'
'-x+1/2,-y+1/2,-z'
'-x+1/2,y+1/2,-z'
'x+1/2,-y+1/2,z'
loop_
_atom_site_label
_atom_site_type_symbol
_atom_site_fract_x
_atom_site_fract_y
_atom_site_fract_z
Y1 Y 0.0000 0.0000 0.0000
Y2 Y 0.0000 0.3338 0.0000
Ho1 Ho 0.0000 0.5000 0.5000
Tm1 Tm 0.0000 0.1668 0.5000
Sb1 Sb 0.2475 0.0000 0.7464
Sb2 Sb 0.2504 0.1673 0.2531

***

3.
# SrBeCu2 (GGA-PBE, optimized geometry)
# Energy relative to the elements = 0.27 eV per atom
# Total magnetic moment = 0.00 Bohr magnetons per cell
data_SrBeCu2
_chemical_formula_sum 'Sr2 Be2 Cu4'
_space_group_name_H-M_alt 'I m m m'
_space_group_IT_number 71
_space_group_name_Hall '-I 2 2'
_cell_length_a 3.8564
_cell_length_b 5.5546
_cell_length_c 7.3353
_cell_angle_alpha 90.00
_cell_angle_beta 90.00
_cell_angle_gamma 90.00
loop_
_atom_site_label
_atom_site_type_symbol
_atom_site_fract_x
_atom_site_fract_y
_atom_site_fract_z
Sr1 Sr 0.0000 0.0000 0.0000
Be1 Be 0.0000 0.0000 0.5000
Cu1 Cu 0.0000 0.5000 0.1664

***

4.
# EuScPb (GGA-PBE, optimized geometry)
# Energy relative to the elements = -0.24 eV per atom
# Total magnetic moment = 17.21 Bohr magnetons per cell
data_EuScPb
_chemical_formula_sum 'Eu2 Sc2 Pb2'
_space_group_name_H-M_alt 'I 4 m m'
_space_group_IT_number 107
_space_group_name_Hall 'I 4 -2'
_cell_length_a 3.9450
_cell_length_b 3.9450
_cell_length_c 11.2855
_cell_angle_alpha 90.00
_cell_angle_beta 90.00
_cell_angle_gamma 90.00
loop_
_atom_site_label
_atom_site_type_symbol
_atom_site_fract_x
_atom_site_fract_y
_atom_site_fract_z
Eu1 Eu 0.0000 0.0000 0.0000
Sc1 Sc 0.0000 0.0000 0.3055
Pb1 Pb 0.0000 0.0000 0.6830

***

- The highest total magnetic moment belongs to which entry?
  EuScPb